Record 1
Here is an optimized crystal structure of TaTiNO2 from Alexandria via LeMat-Bulk. Energies are from GGA-PBE.

```
TaTiNO2
1.0
3.7186 0.0000 0.0000
0.0000 3.7186 0.0000
0.0000 0.0000 4.0803
N Ti O Ta
1 1 2 1
Direct
0.0000 0.0000 0.5000
0.0000 0.0000 0.0000
0.0000 0.5000 0.0000
0.5000 0.0000 0.0000
0.5000 0.5000 0.5000
```

---

Record 2
Here is an optimized crystal structure of Ce3RhCl3 from Alexandria via LeMat-Bulk. Energies are from GGA-PBE.

```
Ce3RhCl3
1.0
-7.3727 -4.0370 -5.5635
6.9085 4.1328 -6.0663
4.3116 -7.1926 5.5932
Ce Rh Cl
12 4 12
Direct
0.9827 0.4913 0.2413
0.5087 0.0173 0.2587
0.2500 0.0087 0.4913
0.9913 0.7500 0.0087
0.9913 0.2413 0.4827
0.7587 0.0087 0.0173
0.7413 0.4827 0.4913
0.7587 0.7500 0.2413
0.5173 0.2587 0.0087
0.2500 0.2413 0.2587
0.7413 0.2587 0.7500
0.5087 0.4913 0.7500
0.7500 0.5000 0.0000
0.5000 0.2500 0.5000
0.7500 0.2500 0.2500
0.0000 0.0000 0.2500
0.2456 0.9956 0.9912
0.7500 0.7544 0.7456
0.4912 0.7456 0.9956
0.0044 0.2500 0.9956
0.2544 0.7456 0.2500
0.4956 0.5044 0.2500
0.2456 0.2500 0.7544
0.2544 0.5088 0.5044
0.7500 0.9956 0.5044
0.0088 0.5044 0.7544
0.0044 0.7544 0.5088
0.4956 0.9912 0.7456
```

---

Record 3
Here is an optimized crystal structure of HfThP2N from Alexandria via LeMat-Bulk. Energies are from GGA-PBE.

```
HfThP2N
1.0
3.8504 0.0000 0.0000
0.0000 3.8504 0.0000
0.0000 0.0000 13.1997
Hf Th P N
2 2 4 2
Direct
0.5000 0.0000 0.0987
0.0000 0.5000 0.9013
0.5000 0.0000 0.6010
0.0000 0.5000 0.3990
0.0000 0.5000 0.7125
0.0000 0.5000 0.1035
0.5000 0.0000 0.8965
0.5000 0.0000 0.2875
0.0000 0.0000 0.5000
0.5000 0.5000 0.5000
```

---

Looking at total magnetic moment for the records above, in order, we have 1.5, 3.5, 0.0 μB/f.u..
Looking at energy relative to the elements, uncorrected for the records above, in order, we have -1.028, -1.465, -1.032 eV per atom.